# 1
Computed, not measured: a geometry-optimized CuHgSe2 structure at the PBE-GGA level of DFT.

Lattice parameters (Å, degrees): 3.636 4.348 7.732 64.87 61.92 65.29
Element x y z (fractional)
Cu: 0.139 0.825 0.637
Se: 0.701 0.137 0.420
Hg: 0.139 0.825 0.137
Se: 0.578 0.513 0.855

Values from the calculation:
DOS(E_F): 2.22 states/eV/f.u.
VASP energy: -2.94 eV per atom
space group: C2/m, No. 12

=====

# 2
Computed, not measured: a geometry-optimized MnBeAg2 structure at the PBE-GGA level of DFT.

Lattice parameters (Å, degrees): 4.400 4.400 4.400 60.00 60.00 60.00
Element x y z (fractional)
Be: 0.500 0.500 0.500
Mn: 0.750 0.750 0.750
Ag: 0.000 0.000 0.000
Ag: 0.250 0.250 0.250

Values from the calculation:
ΔE_f: 1.4 eV per formula unit
DOS(E_F): 2.43 states/eV/f.u.
VASP energy: -4.30 eV per atom
space group: F-43m, No. 216

=====

# 3
Computed, not measured: a geometry-optimized Mg3Cd5In structure at the PBE-GGA level of DFT.

Lattice parameters (Å, degrees): 9.106 7.051 7.051 90.00 90.00 90.00
Element x y z (fractional)
Mg: 0.000 0.500 0.500
Cd: 0.236 0.801 0.301
Mg: 0.500 0.861 0.639
Cd: 0.764 0.699 0.801
Cd: 0.500 0.000 0.000
Mg: 0.500 0.361 0.861
Mg: 0.500 0.139 0.361
In: 0.000 0.000 0.500
Cd: 0.236 0.199 0.699
Cd: 0.236 0.699 0.801
Cd: 0.764 0.199 0.699
Cd: 0.764 0.301 0.199
Mg: 0.500 0.639 0.139
Cd: 0.764 0.801 0.301
Mg: 0.000 0.000 0.000
Cd: 0.236 0.301 0.199
In: 0.000 0.500 0.000
Cd: 0.500 0.500 0.500

Values from the calculation:
relative energy among the computed polymorphs: 39.7 meV per atom
ΔE_f: 1.1 eV per formula unit
DOS(E_F): 3.15 states/eV/f.u.
VASP energy: -1.23 eV per atom
space group: P4/mbm, No. 127

=====

# 4
Computed, not measured: a geometry-optimized Ti5Ga8Rh structure at the PBE-GGA level of DFT.

Lattice parameters (Å, degrees): 6.694 6.694 6.694 109.25 109.92 109.25
Element x y z (fractional)
Ti: 0.857 0.806 0.268
Ti: 0.732 0.589 0.538
Ga: 0.608 0.427 0.819
Ga: 0.181 0.788 0.607
Ga: 0.119 0.772 0.017
Ga: 0.654 0.898 0.881
Ti: 0.500 0.000 0.500
Ti: 0.950 0.411 0.143
Ti: 0.462 0.194 0.050
Ga: 0.983 0.102 0.755
Rh: 0.250 0.500 0.750
Ga: 0.245 0.228 0.346
Ga: 0.819 0.212 0.392
Ga: 0.393 0.573 0.181

Values from the calculation:
ΔE_f: -4.2 eV per formula unit
DOS(E_F): 11.25 states/eV/f.u.
VASP energy: -5.37 eV per atom
space group: I-4, No. 82

=====

# 5
Computed, not measured: a geometry-optimized Cs2PI structure at the PBE-GGA level of DFT.

Lattice parameters (Å, degrees): 6.436 6.436 6.436 60.00 60.00 60.00
Element x y z (fractional)
P: 0.000 0.000 0.000
Cs: 0.250 0.250 0.250
Cs: 0.750 0.750 0.750
I: 0.500 0.500 0.500

Values from the calculation:
relative energy among the computed polymorphs: 494.5 meV per atom
DOS(E_F): 6.03 states/eV/f.u.
VASP energy: -2.57 eV per atom
space group: Fm-3m, No. 225

=====

# 6
Computed, not measured: a geometry-optimized PuThPb2O8 structure at the PBE-GGA level of DFT.

Lattice parameters (Å, degrees): 4.096 5.800 7.550 90.00 90.00 95.07
Element x y z (fractional)
Pu: 0.000 0.000 0.000
Pb: 0.500 0.500 0.747
Th: 0.000 0.000 0.500
O: 0.056 0.786 0.222
O: 0.591 0.805 0.000
O: 0.944 0.214 0.778
O: 0.488 0.239 0.500
Pb: 0.500 0.500 0.253
O: 0.512 0.761 0.500
O: 0.944 0.214 0.222
O: 0.056 0.786 0.778
O: 0.409 0.195 0.000

Values from the calculation:
DOS(E_F): 3.88 states/eV/f.u.
VASP energy: -7.83 eV per atom
space group: P2/m, No. 10

=====

# 7
Computed, not measured: a geometry-optimized Tb3Pr4Nd8 structure at the PBE-GGA level of DFT.

Lattice parameters (Å, degrees): 7.110 7.110 12.829 73.91 73.91 60.00
Element x y z (fractional)
Tb: 0.000 0.000 0.500
Pr: 0.664 0.664 0.009
Nd: 0.749 0.247 0.254
Nd: 0.247 0.749 0.254
Nd: 0.251 0.251 0.746
Pr: 0.336 0.336 0.991
Nd: 0.754 0.754 0.737
Nd: 0.753 0.251 0.746
Nd: 0.749 0.749 0.254
Nd: 0.246 0.246 0.263
Nd: 0.251 0.753 0.746
Pr: 0.500 0.500 0.500
Tb: 0.500 0.000 0.500
Tb: 0.000 0.500 0.500
Pr: 0.000 0.000 0.000

Values from the calculation:
relative energy among the computed polymorphs: 0.0 meV per atom
ΔE_f: 1.7 eV per formula unit
DOS(E_F): 23.80 states/eV/f.u.
VASP energy: -4.63 eV per atom
space group: R-3m, No. 166

=====

# 8
Computed, not measured: a geometry-optimized DyErSe3 structure at the PBE-GGA level of DFT.

Lattice parameters (Å, degrees): 4.026 8.024 8.145 94.94 90.00 90.00
Element x y z (fractional)
Se: 0.250 0.681 0.019
Se: 0.250 0.893 0.679
Se: 0.750 0.107 0.321
Dy: 0.250 0.384 0.230
Er: 0.750 0.144 0.680
Er: 0.250 0.856 0.320
Se: 0.750 0.319 0.981
Se: 0.750 0.621 0.389
Se: 0.250 0.379 0.611
Dy: 0.750 0.616 0.770

Values from the calculation:
relative energy among the computed polymorphs: 15.8 meV per atom
VASP energy: -5.76 eV per atom
space group: P2_1/m, No. 11

=====

# 9
Computed, not measured: a geometry-optimized LiVCuS structure at the PBE-GGA level of DFT.

Lattice parameters (Å, degrees): 7.274 3.086 5.348 90.00 104.11 90.00
Element x y z (fractional)
V: 0.361 0.500 0.364
Cu: 0.627 0.000 0.285
Cu: 0.627 0.500 0.785
V: 0.361 0.000 0.864
S: 0.155 0.500 0.962
Li: 0.918 0.000 0.717
S: 0.155 0.000 0.462
Li: 0.918 0.500 0.217

Values from the calculation:
relative energy among the computed polymorphs: 16.1 meV per atom
DOS(E_F): 2.90 states/eV/f.u.
VASP energy: -5.16 eV per atom
space group: Cm, No. 8

=====

# 10
Computed, not measured: a geometry-optimized Li2DyThTe4 structure at the PBE-GGA level of DFT.

Lattice parameters (Å, degrees): 4.316 7.515 7.578 109.05 90.00 90.00
Element x y z (fractional)
Th: 0.000 0.000 0.000
Dy: 0.500 0.500 0.000
Te: 0.500 0.738 0.733
Te: 0.000 0.252 0.740
Te: 0.000 0.748 0.260
Li: 0.500 0.000 0.500
Te: 0.500 0.262 0.267
Li: 0.000 0.500 0.500

Values from the calculation:
DOS(E_F): 3.36 states/eV/f.u.
VASP energy: -4.73 eV per atom
space group: P2/m, No. 10

=====

# 11
Computed, not measured: a geometry-optimized K3MnCr2Se6 structure at the PBE-GGA level of DFT.

Lattice parameters (Å, degrees): 6.722 6.722 7.764 98.29 98.29 120.05
Element x y z (fractional)
Se: 0.398 0.060 0.179
Se: 0.602 0.940 0.821
Cr: 0.333 0.667 0.000
K: 0.835 0.165 0.500
K: 0.500 0.500 0.500
Cr: 0.667 0.333 0.000
K: 0.165 0.835 0.500
Se: 0.722 0.722 0.179
Mn: 0.000 0.000 0.000
Se: 0.278 0.278 0.821
Se: 0.060 0.398 0.179
Se: 0.940 0.602 0.821

Values from the calculation:
DOS(E_F): 5.94 states/eV/f.u.
VASP energy: -5.17 eV per atom
space group: C2/m, No. 12

=====

# 12
Computed, not measured: a geometry-optimized YTl2IrW structure at the PBE-GGA level of DFT.

Lattice parameters (Å, degrees): 5.153 5.153 4.959 90.00 90.00 90.00
Element x y z (fractional)
Ir: 0.000 0.000 0.000
Y: 0.500 0.500 0.500
Tl: 0.500 0.000 0.000
Tl: 0.000 0.500 0.000
W: 0.000 0.000 0.500

Values from the calculation:
ΔE_f: 4.3 eV per formula unit
DOS(E_F): 5.09 states/eV/f.u.
VASP energy: -5.74 eV per atom
space group: P4/mmm, No. 123

=====

no.,total magnetic moment (μB per formula unit)
1,0.0
2,3.8
3,0.0
4,0.0
5,2.0
6,0.3
7,0.0
8,0.0
9,0.6
10,0.0
11,10.0
12,1.0